Entry w
CsBiSe: optimized geometry, PBE-GGA.

Cell: 5.6115 7.2349 7.5208 Å, 105.04 102.76 97.46°
Last column: nearest neighbours and their distance in Å.
Fractional positions:
Cs 0.1318 0.1504 0.3786  4 Se 3.63-3.93, 1 Bi 4.00
Cs 0.7589 0.7364 0.6224  4 Se 3.57-3.79
Bi 0.4801 0.1323 0.9655  1 Se 2.70, 1 Bi 3.02
Bi 0.2384 0.4823 0.9738  2 Se 2.63-2.88
Se 0.1432 0.6275 0.3039  1 Bi 2.63
Se 0.7441 0.2760 0.7544  2 Bi 2.70-2.88

***

Entry x
CsBiSe: optimized geometry, PBE-GGA.

Cell: 8.9095 4.7977 12.8497 Å, 90.00 102.25 90.00°
Last column: nearest neighbours and their distance in Å.
Fractional positions:
Cs 0.3463 0.0000 0.1008  5 Se 3.65-3.74
Cs 0.6537 0.0000 0.8992  5 Se 3.65-3.74
Cs 0.3463 0.5000 0.6008  5 Se 3.65-3.74
Cs 0.6537 0.5000 0.3992  5 Se 3.65-3.74
Bi 0.0238 0.0000 0.3311  1 Se 2.65
Bi 0.9762 0.0000 0.6689  1 Se 2.65
Bi 0.0238 0.5000 0.8311  1 Se 2.65
Bi 0.9762 0.5000 0.1689  1 Se 2.65
Se 0.3275 0.0000 0.3839  1 Bi 2.65
Se 0.6725 0.0000 0.6161  1 Bi 2.65
Se 0.3275 0.5000 0.8839  1 Bi 2.65
Se 0.6725 0.5000 0.1161  1 Bi 2.65

***

Entry y
CsBiSe: optimized geometry, PBE-GGA.

Cell: 8.8956 4.8629 14.2290 Å, 90.00 109.23 90.00°
Last column: nearest neighbours and their distance in Å.
Fractional positions:
Cs 0.4531 0.0000 0.7446  4 Se 3.56-3.63
Cs 0.4531 0.5000 0.2446  4 Se 3.56-3.63
Cs 0.8291 0.0000 0.5718  3 Se 3.58-3.85
Cs 0.8291 0.5000 0.0718  3 Se 3.58-3.85
Bi 0.2353 0.0000 0.9713  1 Se 2.72
Bi 0.2353 0.5000 0.4713  1 Se 2.72
Bi 0.0751 0.0000 0.3328  1 Se 2.65
Bi 0.0751 0.5000 0.8328  1 Se 2.65
Se 0.1420 0.0000 0.1351  1 Bi 2.72
Se 0.1420 0.5000 0.6351  1 Bi 2.72
Se 0.7620 0.0000 0.2902  1 Bi 2.65
Se 0.7620 0.5000 0.7902  1 Bi 2.65

***

Entry z
CsBiSe: optimized geometry, PBE-GGA.

Cell: 5.4711 4.8460 10.2380 Å, 90.00 99.69 90.00°
Last column: nearest neighbours and their distance in Å.
Fractional positions:
Cs 0.3094 0.2500 0.6634  5 Se 3.67-3.68, 1 Bi 4.05
Cs 0.6906 0.7500 0.3366  5 Se 3.67-3.68, 1 Bi 4.05
Bi 0.1822 0.2500 0.0415  1 Se 2.65
Bi 0.8178 0.7500 0.9585  1 Se 2.65
Se 0.1774 0.2500 0.3003  1 Bi 2.65
Se 0.8226 0.7500 0.6997  1 Bi 2.65

***

Which structure loses on stability? entry w does.

***

Entry w
CsBiSe: optimized geometry, PBE-GGA.

Cell: 5.3039 5.8816 10.4864 Å, 78.51 75.89 89.96°
Last column: nearest neighbours and their distance in Å.
Fractional positions:
Cs 0.3687 0.0515 0.0944  3 Se 3.68-3.83, 2 Bi 4.06-4.07
Cs 0.6218 0.2736 0.6074  4 Se 3.65-3.86, 1 Bi 3.90
Bi 0.9526 0.5924 0.9210  2 Se 2.85, 1 Bi 3.01
Bi 0.8070 0.5290 0.2220  2 Se 2.87, 1 Bi 3.01
Se 0.2551 0.4522 0.3294  2 Bi 2.87
Se 0.4996 0.6963 0.8243  2 Bi 2.85

***

Entry x
CsBiSe: optimized geometry, PBE-GGA.

Cell: 4.6937 5.1476 12.4261 Å, 78.38 79.07 64.26°
Last column: nearest neighbours and their distance in Å.
Fractional positions:
Cs 0.4529 0.0849 0.7108  6 Se 3.65-3.81
Cs 0.5809 0.2245 0.3255  6 Se 3.66-3.82
Bi 0.3446 0.9361 0.0762  3 Bi 3.12-3.28
Bi 0.0447 0.6246 0.9705  3 Bi 3.12-3.28
Se 0.8165 0.5457 0.5191  2 Se 2.55-2.56
Se 0.2141 0.7633 0.5189  2 Se 2.55-2.56

***

Which structure loses on stability? entry x does.